DFT (PBE) results for a geometry-optimized V5Cr2FeRu2 structure.

Lattice parameters (Å, degrees): 9.4748 9.4748 2.9423 90.00 90.00 90.00
Last column: nearest neighbours and their distance in Å.
Space group P4/mbm (No. 127)
Asymmetric unit:
V  0.0000  0.5000  0.0000  4 Cr 2.37
V  0.0405  0.1988  0.0000  2 Cr 2.32, 2 Fe 2.42
Cr  0.1385  0.3615  0.5000  6 V 2.32-2.37, 1 Ru 2.52
Fe  0.0000  0.0000  0.5000  8 V 2.42
Ru  0.1733  0.6733  0.5000  1 Cr 2.52, 6 V 2.75-2.78

Summary:
The total DFT energy (no corrections) comes out at -180.043 eV per cell. As for the formation energy: 0.1833 eV/atom. The value obtained for the size of the total moment is 0.42 μB/f.u.